Record 1
5
Lattice="3.8374 0.0000 0.0000 0.0000 3.8374 0.0000 0.0000 0.0000 3.8374" Properties=species:S:1:pos:R:3 comment="VCr3C (PBE, optimized geometry)" mass_density_g_cm3=6.43 sg="No. 221" e_form_ev_per_atom=0.065 total_magnetization_mub_per_cell=0.0 pbc="T T T"
Cr 0.0000 1.9187 0.0000
Cr 0.0000 0.0000 1.9187
Cr 1.9187 0.0000 0.0000
C 0.0000 0.0000 0.0000
V 1.9187 1.9187 1.9187

Record 2
18
Lattice="-3.3864 -4.8274 4.7456 -3.0646 -3.6381 -5.8877 11.4484 -8.6405 -0.6199" Properties=species:S:1:pos:R:3 comment="SrCa2I6 (PBE, optimized geometry)" e_form_raw_ev_per_atom=-1.61 mass_density_g_cm3=3.75 sg="No. 136" total_magnetization_mub_per_cell=0.0 pbc="T T T"
Sr 0.0000 0.0000 0.0000
Sr 2.4987 -8.5530 -0.8810
Ca 3.8100 -2.8755 -0.2063
Ca 7.6385 -5.7650 -0.4136
Ca -1.3113 -5.6775 -0.6747
Ca 6.3087 -11.4285 -1.0873
I -1.1486 -5.3732 -3.8491
I 6.3379 -11.0235 -4.2545
I 2.5982 -8.1853 -4.1689
I -1.9947 -2.6176 -0.3531
I 1.8195 -5.3495 -0.5433
I 5.7815 -8.3398 -0.7578
I -0.7841 -8.7663 -1.0042
I 3.1778 -11.7565 -1.2188
I -4.4563 -5.8479 -0.7890
I 2.3992 -8.9208 2.4069
I -1.3405 -6.0825 2.4925
I 6.1459 -11.7328 2.0871

Record 3
14
Lattice="-3.9137 -0.1614 4.8635 -4.1399 -3.9126 -0.8525 0.7932 -3.0709 4.8015" Properties=species:S:1:pos:R:3 comment="DyP2N4 (PBE, optimized geometry)" e_form_raw_ev_per_atom=-0.67 mass_density_g_cm3=5.91 sg="No. 1" total_magnetization_mub_per_cell=0.0 pbc="T T T"
Dy -4.7207 -3.6273 5.3539
Dy -7.8442 -4.1480 4.1593
P -4.3732 -3.2334 2.3843
P -1.9052 -3.7982 5.2453
P -6.4829 -5.8004 6.6483
P -1.8425 -1.8104 3.1808
N -1.0605 -3.0521 3.9532
N -2.7386 -2.5701 5.9924
N -3.1863 -4.0519 1.5386
N -3.5250 -2.1079 3.3110
N -2.8574 -4.8868 4.6651
N -5.4259 -4.3774 3.2248
N -1.5446 -1.4118 1.5429
N -4.8040 -5.5196 6.4440

Record 4
12
Lattice="-3.1355 -2.1971 -0.6773 5.6252 -4.2112 -1.2208 -0.2880 1.7192 6.9159" Properties=species:S:1:pos:R:3 comment="Cr5AsRh6 (PBE, optimized geometry)" mass_density_g_cm3=9.66 sg="No. 71" e_form_ev_per_atom=-0.141 total_magnetization_mub_per_cell=1.2 pbc="T T T"
Cr -0.7400 -0.4983 5.0420
Cr 1.7524 -0.3270 4.1084
Cr 1.1009 -2.3445 2.5089
Cr 3.5849 -2.1649 1.5867
Cr 2.9418 -4.1908 -0.0242
As 0.0000 0.0000 0.0000
Rh -0.4621 -0.1349 2.5764
Rh 0.6778 -2.5624 5.1741
Rh -1.0662 -2.1668 0.8045
Rh 3.2679 -2.5222 4.2133
Rh 1.5240 -2.1267 -0.1563
Rh 2.6638 -4.5542 2.4413